No. 1
Density functional theory data (PBE-GGA) for a geometry-optimized Tb2Pm5Dy2 structure.

Cell: 10.120 10.120 10.120 Å, 85.00 108.30 140.63°
Positions (direct):
Tb  0.005  0.127  0.132
Tb  0.005  0.373  0.377
Tb  0.995  0.627  0.623
Tb  0.995  0.873  0.868
Pm  0.094  0.601  0.993
Pm  0.095  0.185  0.623
Pm  0.095  0.972  0.411
Pm  0.400  0.107  0.191
Pm  0.400  0.709  0.793
Pm  0.561  0.472  0.377
Pm  0.561  0.685  0.589
Pm  0.607  0.101  0.007
Pm  0.917  0.209  0.809
Pm  0.917  0.607  0.207
Dy  0.490  0.490  0.000
Dy  0.490  0.990  0.500
Dy  0.540  0.298  0.743
Dy  0.555  0.798  0.257

Properties
Size of the total moment: 0.00 μB/atom
E: -4.474 eV/atom

=====

No. 2
Density functional theory data (PBE-GGA) for a geometry-optimized PaSe2O structure.

Cell: 3.868 3.868 7.299 Å, 105.62 105.62 59.99°
Positions (direct):
Pa  0.000  0.000  0.000
Se  0.570  0.570  0.715
Se  0.763  0.763  0.285
O  0.333  0.333  0.000

Properties
Size of the total moment: 0.00 μB/atom
E: -7.164 eV/atom

=====

No. 3
Density functional theory data (PBE-GGA) for a geometry-optimized BaHf2GeH structure.

Cell: 5.507 5.507 5.553 Å, 90.00 90.00 90.00°
Positions (direct):
Ba  0.000  0.000  0.000
Hf  0.000  0.500  0.000
Hf  0.500  0.000  0.000
Ge  0.000  0.000  0.500
H  0.500  0.500  0.500

Properties
Size of the total moment: 0.09 μB/atom
E: -3.508 eV/atom

=====

No. 4
Density functional theory data (PBE-GGA) for a geometry-optimized PmHo5Mg2 structure.

Cell: 8.571 8.571 8.571 Å, 156.77 102.53 82.19°
Positions (direct):
Pm  0.000  0.000  0.000
Ho  0.138  0.368  0.771
Ho  0.403  0.632  0.771
Ho  0.500  0.000  0.500
Ho  0.597  0.368  0.229
Ho  0.862  0.632  0.229
Mg  0.244  0.744  0.500
Mg  0.756  0.256  0.500

Properties
Size of the total moment: 0.00 μB/atom
E: -3.822 eV/atom

=====

No. 5
Density functional theory data (PBE-GGA) for a geometry-optimized Ca3CrRu structure.

Cell: 5.405 5.405 5.405 Å, 90.00 90.00 90.00°
Positions (direct):
Ca  0.000  0.000  0.500
Ca  0.000  0.500  0.000
Ca  0.500  0.000  0.000
Cr  0.500  0.500  0.500
Ru  0.000  0.000  0.000

Properties
Size of the total moment: 1.00 μB/atom
E: -4.401 eV/atom

=====

No. 6
Density functional theory data (PBE-GGA) for a geometry-optimized SiTe2Rh structure.

Cell: 4.848 4.848 4.848 Å, 110.75 110.75 106.94°
Positions (direct):
Si  0.000  0.000  0.000
Te  0.000  0.500  0.500
Te  0.500  0.000  0.500
Rh  0.500  0.500  0.000

Properties
Size of the total moment: 0.00 μB/atom
E: -4.594 eV/atom

=====

No. 7
Density functional theory data (PBE-GGA) for a geometry-optimized Na2ErCuF6 structure.

Cell: 5.733 5.523 11.331 Å, 90.00 120.17 90.00°
Positions (direct):
Na  0.214  0.001  0.214
Na  0.214  0.499  0.714
Na  0.786  0.501  0.286
Na  0.786  0.999  0.786
Er  0.500  0.000  0.000
Er  0.500  0.500  0.500
Cu  0.000  0.000  0.500
Cu  0.000  0.500  0.000
F  0.175  0.213  0.000
F  0.175  0.287  0.500
F  0.178  0.715  0.346
F  0.178  0.785  0.846
F  0.488  0.713  0.656
F  0.488  0.787  0.156
F  0.512  0.213  0.844
F  0.512  0.287  0.344
F  0.822  0.215  0.154
F  0.822  0.285  0.654
F  0.825  0.713  0.500
F  0.825  0.787  0.000

Properties
Size of the total moment: 0.01 μB/atom
E: -5.187 eV/atom

=====

No. 8
Density functional theory data (PBE-GGA) for a geometry-optimized YMnInC2 structure.

Cell: 4.383 4.383 4.873 Å, 90.00 90.00 90.00°
Positions (direct):
Y  0.000  0.000  0.000
Mn  0.500  0.500  0.000
In  0.500  0.500  0.500
C  0.000  0.500  0.500
C  0.500  0.000  0.500

Properties
Size of the total moment: 0.75 μB/atom
E: -5.419 eV/atom